Model i:
# ZnBiSbO

A relaxed structure of ZnBiSbO (PBE, OQMD via LeMat-Bulk).

abc: 4.0998 4.0998 9.8462
angles: 90.00 90.00 90.00
Last column: nearest neighbours and their distance in Å.
Positions (direct):
O 0.5000 0.5000 0.0000  4 Bi 2.38
O 0.0000 0.0000 0.0000  4 Bi 2.38
Sb 0.5000 0.0000 0.3156  4 Zn 2.74
Sb 0.0000 0.5000 0.6844  4 Zn 2.74
Bi 0.0000 0.5000 0.1233  4 O 2.38
Bi 0.5000 0.0000 0.8767  4 O 2.38
Zn 0.0000 0.0000 0.5000  4 Sb 2.74, 4 Zn 2.90
Zn 0.5000 0.5000 0.5000  4 Sb 2.74, 4 Zn 2.90

Computed properties:
- space group = No. 129



Model ii:
# ZnBiSbO

A relaxed structure of ZnBiSbO (PBE, OQMD via LeMat-Bulk).

abc: 15.2652 15.2652 15.2652
angles: 13.19 13.19 13.19
Last column: nearest neighbours and their distance in Å.
Positions (direct):
Zn 0.3570 0.3570 0.3570  4 O 2.02-2.14
Zn 0.6430 0.6430 0.6430  4 O 2.02-2.14
Sb 0.0815 0.0815 0.0815  3 Bi 3.14, 3 Zn 3.32, 3 O 3.32, 6 Sb 3.51
Sb 0.9185 0.9185 0.9185  3 Bi 3.14, 3 Zn 3.32, 3 O 3.32, 6 Sb 3.51
Bi 0.1988 0.1988 0.1988  3 Sb 3.14, 6 Bi 3.51
Bi 0.8012 0.8012 0.8012  3 Sb 3.14, 6 Bi 3.51
O 0.3098 0.3098 0.3098  4 Zn 2.02-2.14
O 0.6902 0.6902 0.6902  4 Zn 2.02-2.14

Computed properties:
- space group = No. 166



Model iii:
# ZnBiSbO

A relaxed structure of ZnBiSbO (PBE, OQMD via LeMat-Bulk).

abc: 6.2636 7.4196 7.7724
angles: 90.00 90.00 90.00
Last column: nearest neighbours and their distance in Å.
Positions (direct):
O 0.8723 0.5144 0.6547  2 Zn 2.00-2.04
O 0.3723 0.4856 0.8453  2 Zn 2.00-2.04
O 0.1277 0.9856 0.1547  2 Zn 2.00-2.04
O 0.6277 0.0144 0.3453  2 Zn 2.00-2.04
Sb 0.1405 0.9356 0.6326  2 Zn 2.67-2.69
Sb 0.8595 0.5644 0.1326  2 Zn 2.67-2.69
Sb 0.3595 0.4356 0.3674  2 Zn 2.67-2.69
Sb 0.6405 0.0644 0.8674  2 Zn 2.67-2.69
Bi 0.1919 0.1868 0.9387  1 O 2.28
Bi 0.3081 0.6868 0.0613  1 O 2.28
Bi 0.8081 0.3132 0.4387  1 O 2.28
Bi 0.6919 0.8132 0.5613  1 O 2.28
Zn 0.6902 0.4245 0.8472  2 O 2.00-2.04
Zn 0.1902 0.5755 0.6528  2 O 2.00-2.04
Zn 0.3098 0.0755 0.3472  2 O 2.00-2.04
Zn 0.8098 0.9245 0.1528  2 O 2.00-2.04

Computed properties:
- space group = No. 19



Model iv:
# ZnBiSbO

A relaxed structure of ZnBiSbO (PBE, OQMD via LeMat-Bulk).

abc: 9.6884 17.3107 4.5931
angles: 90.00 90.00 90.00
Last column: nearest neighbours and their distance in Å.
Positions (direct):
Zn 0.5977 0.8756 0.0000  2 O 2.06
Zn 0.8980 0.8746 0.0000  2 O 2.06
Zn 0.4023 0.1244 0.0000  2 O 2.06
Zn 0.1020 0.1254 0.0000  2 O 2.06
Zn 0.3980 0.6254 0.0000  2 O 2.06
Zn 0.6020 0.3746 0.0000  2 O 2.06
Zn 0.0977 0.6244 0.0000  2 O 2.06
Zn 0.9023 0.3756 0.0000  2 O 2.06
Bi 0.7533 0.2534 0.5000  2 O 2.39
Bi 0.7467 0.7534 0.5000  2 O 2.39
Bi 0.2504 0.5033 0.5000  2 O 2.39
Bi 0.2533 0.2466 0.5000  2 O 2.39
Bi 0.7504 0.9967 0.5000  2 O 2.39
Bi 0.2467 0.7466 0.5000  2 O 2.39
Bi 0.7496 0.4967 0.5000  2 O 2.39
Bi 0.2496 0.0033 0.5000  2 O 2.39
O 0.2514 0.0406 0.0000  2 Zn 2.06
O 0.2525 0.2093 0.0000  2 Zn 2.06
O 0.7514 0.4594 0.0000  2 Zn 2.06
O 0.2486 0.5406 0.0000  2 Zn 2.06
O 0.7525 0.2907 0.0000  2 Zn 2.06
O 0.2475 0.7093 0.0000  2 Zn 2.06
O 0.7486 0.9594 0.0000  2 Zn 2.06
O 0.7475 0.7907 0.0000  2 Zn 2.06
Sb 0.9660 0.1246 0.5000  2 Zn 2.65
Sb 0.0377 0.3746 0.5000  2 Zn 2.64
Sb 0.5377 0.1254 0.5000  2 Zn 2.64
Sb 0.5340 0.6246 0.5000  2 Zn 2.65
Sb 0.4623 0.8746 0.5000  2 Zn 2.64
Sb 0.0340 0.8754 0.5000  2 Zn 2.65
Sb 0.9623 0.6254 0.5000  2 Zn 2.64
Sb 0.4660 0.3754 0.5000  2 Zn 2.65

Computed properties:
- space group = No. 55



The structure with the least stability is model ii.



Model i:
# ZnBiSbO

A relaxed structure of ZnBiSbO (PBE, OQMD via LeMat-Bulk).

abc: 11.0401 19.4919 3.3452
angles: 90.00 90.00 90.00
Last column: nearest neighbours and their distance in Å.
Positions (direct):
Zn 0.0581 0.8912 0.5000  2 O 1.99
Zn 0.4419 0.3912 0.5000  2 O 1.99
Zn 0.0537 0.4095 0.5000  2 O 1.98
Zn 0.5581 0.6088 0.5000  2 O 1.99
Zn 0.4463 0.9095 0.5000  2 O 1.98
Zn 0.9419 0.1088 0.5000  2 O 1.99
Zn 0.5537 0.0905 0.5000  2 O 1.98
Zn 0.9463 0.5905 0.5000  2 O 1.98
Sb 0.2565 0.2778 0.5000  1 Zn 3.01, 4 Bi 3.26-3.29, 2 Sb 3.35
Sb 0.2435 0.7778 0.5000  1 Zn 3.01, 4 Bi 3.26-3.29, 2 Sb 3.35
Sb 0.2420 0.9773 0.5000  2 Zn 2.61-2.63
Sb 0.2580 0.4773 0.5000  2 Zn 2.61-2.63
Sb 0.7435 0.7222 0.5000  1 Zn 3.01, 4 Bi 3.26-3.29, 2 Sb 3.35
Sb 0.7565 0.2222 0.5000  1 Zn 3.01, 4 Bi 3.26-3.29, 2 Sb 3.35
Sb 0.7580 0.0227 0.5000  2 Zn 2.61-2.63
Sb 0.7420 0.5227 0.5000  2 Zn 2.61-2.63
Bi 0.4948 0.7583 0.0000  2 O 2.46-2.50
Bi 0.2475 0.1193 0.0000  2 O 2.40-2.46
Bi 0.7525 0.8807 0.0000  2 O 2.40-2.46
Bi 0.5052 0.2417 0.0000  2 O 2.46-2.50
Bi 0.2525 0.6193 0.0000  2 O 2.40-2.46
Bi 0.9948 0.7417 0.0000  2 O 2.46-2.50
Bi 0.7475 0.3807 0.0000  2 O 2.40-2.46
Bi 0.0052 0.2583 0.0000  2 O 2.46-2.50
O 0.9699 0.3832 0.0000  2 Zn 1.98
O 0.5301 0.8832 0.0000  2 Zn 1.98
O 0.5314 0.3692 0.0000  2 Zn 1.99
O 0.9686 0.8692 0.0000  2 Zn 1.99
O 0.0301 0.6168 0.0000  2 Zn 1.98
O 0.4699 0.1168 0.0000  2 Zn 1.98
O 0.0314 0.1308 0.0000  2 Zn 1.99
O 0.4686 0.6308 0.0000  2 Zn 1.99

Computed properties:
- space group = No. 55



Model ii:
# ZnBiSbO

A relaxed structure of ZnBiSbO (PBE, OQMD via LeMat-Bulk).

abc: 3.9089 3.9089 11.0064
angles: 90.00 90.00 90.00
Last column: nearest neighbours and their distance in Å.
Positions (direct):
Sb 0.0000 0.5000 0.4351  5 Zn 2.98-3.17, 4 Sb 3.11
Sb 0.5000 0.0000 0.5649  5 Zn 2.98-3.17, 4 Sb 3.11
Zn 0.5000 0.0000 0.2941  5 Sb 2.98-3.17
Zn 0.0000 0.5000 0.7059  5 Sb 2.98-3.17
Bi 0.0000 0.5000 0.1180  4 O 2.35
Bi 0.5000 0.0000 0.8820  4 O 2.35
O 0.0000 0.0000 0.0000  4 Bi 2.35
O 0.5000 0.5000 0.0000  4 Bi 2.35

Computed properties:
- space group = No. 129



The structure with the least stability is model ii.



Model i:
# ZnBiSbO

A relaxed structure of ZnBiSbO (PBE, OQMD via LeMat-Bulk).

abc: 11.3299 11.3299 11.3299
angles: 21.46 21.46 21.46
Last column: nearest neighbours and their distance in Å.
Positions (direct):
Bi 0.6235 0.6235 0.6235  4 O 2.27-2.51
Bi 0.3765 0.3765 0.3765  4 O 2.27-2.51
Sb 0.8914 0.8914 0.8914  4 Zn 2.67-2.77
Sb 0.1086 0.1086 0.1086  4 Zn 2.67-2.77
O 0.6920 0.6920 0.6920  4 Bi 2.27-2.51
O 0.3080 0.3080 0.3080  4 Bi 2.27-2.51
Zn 0.8079 0.8079 0.8079  4 Sb 2.67-2.77, 3 Zn 2.97
Zn 0.1921 0.1921 0.1921  4 Sb 2.67-2.77, 3 Zn 2.97

Computed properties:
- space group = No. 166



Model ii:
# ZnBiSbO

A relaxed structure of ZnBiSbO (PBE, OQMD via LeMat-Bulk).

abc: 4.3371 4.3371 10.2086
angles: 90.00 90.00 90.06
Last column: nearest neighbours and their distance in Å.
Positions (direct):
O 0.7500 0.7500 0.0000  4 Zn 2.17
O 0.2500 0.2500 0.0000  4 Zn 2.17
Sb 0.7500 0.2500 0.7306  1 Zn 2.86
Sb 0.2500 0.7500 0.2694  1 Zn 2.86
Bi 0.7500 0.7500 0.5000  4 Bi 3.07, 4 Sb 3.20
Bi 0.2500 0.2500 0.5000  4 Bi 3.07, 4 Sb 3.20
Zn 0.2500 0.7500 0.9896  4 O 2.17
Zn 0.7500 0.2500 0.0104  4 O 2.17

Computed properties:
- space group = No. 129



The structure with the least stability is model ii.



Model i:
# Sm2Bi2O5

A relaxed structure of Sm2Bi2O5 (PBE, OQMD via LeMat-Bulk).

abc: 7.5256 4.3612 4.3612
angles: 90.00 90.00 90.00
Last column: nearest neighbours and their distance in Å.
Positions (direct):
O 0.7206 0.5000 0.0000  2 Bi 2.23
O 0.7206 0.0000 0.5000  2 Bi 2.23
O 0.5000 0.5000 0.5000  2 Bi 2.14
O 0.2794 0.0000 0.5000  2 Bi 2.23
O 0.2794 0.5000 0.0000  2 Bi 2.23
Bi 0.2161 0.5000 0.5000  5 O 2.14-2.23
Bi 0.7839 0.5000 0.5000  5 O 2.14-2.23
Sm 0.5000 0.0000 0.0000  8 O 2.74
Sm 0.0000 0.0000 0.0000  8 O 3.03

Computed properties:
- space group = No. 123



Model ii:
# Sm2Bi2O5

A relaxed structure of Sm2Bi2O5 (PBE, OQMD via LeMat-Bulk).

abc: 9.7532 3.9700 3.9700
angles: 90.00 90.00 90.00
Last column: nearest neighbours and their distance in Å.
Positions (direct):
O 0.1447 0.0000 0.5000  2 Sm 2.25, 2 Bi 2.44
O 0.8553 0.0000 0.5000  2 Sm 2.25, 2 Bi 2.44
O 0.5000 0.5000 0.5000  2 Sm 2.41
O 0.1447 0.5000 0.0000  2 Sm 2.25, 2 Bi 2.44
O 0.8553 0.5000 0.0000  2 Sm 2.25, 2 Bi 2.44
Bi 0.0000 0.0000 0.0000  8 O 2.44
Bi 0.5000 0.0000 0.0000  4 O 2.81
Sm 0.2525 0.5000 0.5000  5 O 2.25-2.41
Sm 0.7475 0.5000 0.5000  5 O 2.25-2.41

Computed properties:
- space group = No. 123



The structure with the least stability is model i.



Model i:
# Tb2Bi2O5

A relaxed structure of Tb2Bi2O5 (PBE, OQMD via LeMat-Bulk).

abc: 9.4972 3.9511 3.9511
angles: 90.00 90.00 90.00
Last column: nearest neighbours and their distance in Å.
Positions (direct):
Bi 0.5000 0.0000 0.0000  4 O 2.79
Bi 0.0000 0.0000 0.0000  8 O 2.44
O 0.1501 0.5000 0.0000  2 Tb 2.20, 2 Bi 2.44
O 0.5000 0.5000 0.5000  2 Tb 2.35
O 0.8499 0.0000 0.5000  2 Tb 2.20, 2 Bi 2.44
O 0.8499 0.5000 0.0000  2 Tb 2.20, 2 Bi 2.44
O 0.1501 0.0000 0.5000  2 Tb 2.20, 2 Bi 2.44
Tb 0.7475 0.5000 0.5000  5 O 2.20-2.35
Tb 0.2525 0.5000 0.5000  5 O 2.20-2.35

Computed properties:
- space group = No. 123



Model ii:
# Tb2Bi2O5

A relaxed structure of Tb2Bi2O5 (PBE, OQMD via LeMat-Bulk).

abc: 7.6963 4.2765 4.2765
angles: 90.00 90.00 90.00
Last column: nearest neighbours and their distance in Å.
Positions (direct):
Tb 0.0000 0.0000 0.0000  8 O 3.12, 8 Bi 3.46
Tb 0.5000 0.0000 0.0000  8 O 2.66
O 0.2946 0.5000 0.0000  2 Bi 2.22
O 0.2946 0.0000 0.5000  2 Bi 2.22
O 0.7054 0.0000 0.5000  2 Bi 2.22
O 0.5000 0.5000 0.5000  2 Bi 2.16
O 0.7054 0.5000 0.0000  2 Bi 2.22
Bi 0.7805 0.5000 0.5000  5 O 2.16-2.22
Bi 0.2195 0.5000 0.5000  5 O 2.16-2.22

Computed properties:
- space group = No. 123



The structure with the least stability is model ii.